1.
The following is a GGA-PBE calculation of a relaxed KCdBrF2 crystal, from Alexandria via LeMat-Bulk.

a = 4.537 Å, b = 4.537 Å, c = 5.552 Å
α = 90.00°, β = 90.00°, γ = 90.00°
Atoms (fractional coordinates):
K  0.000  0.000  0.000
Cd  0.500  0.500  0.500
Br  0.500  0.500  0.000
F  0.000  0.500  0.500
F  0.500  0.000  0.500

Results
Its density of states at the Fermi level is 0.0000 states/eV/atom. For the total DFT energy (no corrections), the calculation gives -17.22 eV per cell. As for the space group: P4/mmm, No. 123. The calculation puts the energy relative to the elements, uncorrected at -1.96 eV per atom. Its total magnetic moment is 0.00 μB/cell.


2.
The following is a GGA-PBE calculation of a relaxed KCdBr2F crystal, from Alexandria via LeMat-Bulk.

a = 5.621 Å, b = 5.621 Å, c = 4.409 Å
α = 90.00°, β = 90.00°, γ = 90.00°
Atoms (fractional coordinates):
K  0.000  0.000  0.000
Cd  0.500  0.500  0.500
Br  0.000  0.500  0.500
Br  0.500  0.000  0.500
F  0.500  0.500  0.000

Results
Its energy above the lowest structure with this stoichiometry is 0.0641 eV/atom. Its density of states at the Fermi level is 0.0000 states/eV/atom. For the total DFT energy (no corrections), the calculation gives -15.12 eV per cell. As for the space group: P4/mmm, No. 123. The calculation puts the energy relative to the elements, uncorrected at -1.58 eV per atom. Its total magnetic moment is 0.00 μB/cell.


3.
The following is a GGA-PBE calculation of a relaxed CdBrN2F crystal, from Alexandria via LeMat-Bulk.

a = 3.806 Å, b = 3.806 Å, c = 5.233 Å
α = 90.00°, β = 90.00°, γ = 90.00°
Atoms (fractional coordinates):
Cd  0.000  0.000  0.000
Br  0.500  0.500  0.500
N  0.000  0.500  0.500
N  0.500  0.000  0.500
F  0.500  0.500  0.000

Results
Its energy above the lowest structure with this stoichiometry is 0.0801 eV/atom. Its density of states at the Fermi level is 0.4017 states/eV/atom. For the total DFT energy (no corrections), the calculation gives -14.18 eV per cell. As for the space group: P4/mmm, No. 123. The calculation puts the energy relative to the elements, uncorrected at 1.39 eV per atom. Its total magnetic moment is 0.50 μB/cell.


4.
The following is a GGA-PBE calculation of a relaxed CdBrN2F crystal, from Alexandria via LeMat-Bulk.

a = 4.524 Å, b = 4.524 Å, c = 4.313 Å
α = 90.00°, β = 90.00°, γ = 90.00°
Atoms (fractional coordinates):
Cd  0.000  0.000  0.000
Br  0.500  0.500  0.500
N  0.000  0.500  0.000
N  0.500  0.000  0.000
F  0.000  0.000  0.500

Results
Its energy above the lowest structure with this stoichiometry is 0.0000 eV/atom. Its density of states at the Fermi level is 0.9662 states/eV/atom. For the total DFT energy (no corrections), the calculation gives -14.59 eV per cell. As for the space group: P4/mmm, No. 123. The calculation puts the energy relative to the elements, uncorrected at 1.31 eV per atom. Its total magnetic moment is 3.43 μB/cell.


5.
The following is a GGA-PBE calculation of a relaxed NaCdBr2F crystal, from Alexandria via LeMat-Bulk.

a = 5.567 Å, b = 5.567 Å, c = 4.346 Å
α = 90.00°, β = 90.00°, γ = 90.00°
Atoms (fractional coordinates):
Na  0.000  0.000  0.000
Cd  0.500  0.500  0.500
Br  0.000  0.500  0.500
Br  0.500  0.000  0.500
F  0.500  0.500  0.000

Results
Its density of states at the Fermi level is 0.0000 states/eV/atom. For the total DFT energy (no corrections), the calculation gives -14.52 eV per cell. As for the space group: P4/mmm, No. 123. The calculation puts the energy relative to the elements, uncorrected at -1.41 eV per atom. Its total magnetic moment is 0.00 μB/cell.


6.
The following is a GGA-PBE calculation of a relaxed Na2CdBr2F2 crystal, from Alexandria via LeMat-Bulk.

a = 8.542 Å, b = 8.542 Å, c = 8.542 Å
α = 149.74°, β = 149.74°, γ = 43.32°
Atoms (fractional coordinates):
Na  0.126  0.126  0.000
Na  0.874  0.874  0.000
Cd  0.500  0.500  0.000
Br  0.329  0.329  0.000
Br  0.671  0.671  0.000
F  0.000  0.500  0.500
F  0.500  0.000  0.500

Results
Its density of states at the Fermi level is 0.0000 states/eV/atom. For the total DFT energy (no corrections), the calculation gives -23.22 eV per cell. As for the space group: I4/mmm, No. 139. The calculation puts the energy relative to the elements, uncorrected at -1.80 eV per atom. Its total magnetic moment is 0.00 μB/cell.


7.
The following is a GGA-PBE calculation of a relaxed CdBrOF2 crystal, from Alexandria via LeMat-Bulk.

a = 4.363 Å, b = 4.363 Å, c = 4.650 Å
α = 90.00°, β = 90.00°, γ = 90.00°
Atoms (fractional coordinates):
Cd  0.000  0.000  0.000
Br  0.500  0.500  0.500
O  0.000  0.000  0.500
F  0.000  0.500  0.000
F  0.500  0.000  0.000

Results
Its energy above the lowest structure with this stoichiometry is 0.0000 eV/atom. Its density of states at the Fermi level is 0.9285 states/eV/atom. For the total DFT energy (no corrections), the calculation gives -14.05 eV per cell. As for the space group: P4/mmm, No. 123. The calculation puts the energy relative to the elements, uncorrected at -0.55 eV per atom. Its total magnetic moment is 3.00 μB/cell.


8.
The following is a GGA-PBE calculation of a relaxed CdBrOF2 crystal, from Alexandria via LeMat-Bulk.

a = 4.581 Å, b = 4.581 Å, c = 4.051 Å
α = 90.00°, β = 90.00°, γ = 90.00°
Atoms (fractional coordinates):
Cd  0.000  0.000  0.000
Br  0.500  0.500  0.500
O  0.500  0.500  0.000
F  0.000  0.500  0.500
F  0.500  0.000  0.500

Results
Its energy above the lowest structure with this stoichiometry is 0.3073 eV/atom. Its density of states at the Fermi level is 0.5252 states/eV/atom. For the total DFT energy (no corrections), the calculation gives -12.51 eV per cell. As for the space group: P4/mmm, No. 123. The calculation puts the energy relative to the elements, uncorrected at -0.25 eV per atom. Its total magnetic moment is 0.00 μB/cell.


9.
The following is a GGA-PBE calculation of a relaxed PaCdBr2F6 crystal, from Alexandria via LeMat-Bulk.

a = 6.373 Å, b = 6.373 Å, c = 6.373 Å
α = 60.04°, β = 60.04°, γ = 60.04°
Atoms (fractional coordinates):
Pa  0.000  0.000  0.000
Cd  0.500  0.500  0.500
Br  0.250  0.250  0.250
Br  0.750  0.750  0.750
F  0.238  0.238  0.762
F  0.238  0.762  0.238
F  0.238  0.762  0.762
F  0.762  0.238  0.238
F  0.762  0.238  0.762
F  0.762  0.762  0.238

Results
Its density of states at the Fermi level is 1.0585 states/eV/atom. For the total DFT energy (no corrections), the calculation gives -49.44 eV per cell. As for the space group: R-3m, No. 166. The calculation puts the energy relative to the elements, uncorrected at -2.45 eV per atom. Its total magnetic moment is 1.05 μB/cell.


10.
The following is a GGA-PBE calculation of a relaxed CdPdBr2F crystal, from Alexandria via LeMat-Bulk.

a = 5.645 Å, b = 5.645 Å, c = 3.970 Å
α = 90.00°, β = 90.00°, γ = 90.00°
Atoms (fractional coordinates):
Cd  0.000  0.000  0.000
Pd  0.500  0.500  0.000
Br  0.000  0.500  0.500
Br  0.500  0.000  0.500
F  0.000  0.000  0.500

Results
Its density of states at the Fermi level is 0.6404 states/eV/atom. For the total DFT energy (no corrections), the calculation gives -12.10 eV per cell. As for the space group: P4/mmm, No. 123. The calculation puts the energy relative to the elements, uncorrected at -0.16 eV per atom. Its total magnetic moment is 1.00 μB/cell.


11.
The following is a GGA-PBE calculation of a relaxed Cd3PdBr2F6 crystal, from Alexandria via LeMat-Bulk.

a = 7.038 Å, b = 7.038 Å, c = 5.505 Å
α = 96.85°, β = 96.85°, γ = 58.39°
Atoms (fractional coordinates):
Cd  0.000  0.000  0.000
Cd  0.000  0.500  0.500
Cd  0.500  0.000  0.500
Pd  0.500  0.500  0.500
Br  0.196  0.196  0.843
Br  0.804  0.804  0.157
F  0.178  0.681  0.710
F  0.319  0.822  0.290
F  0.331  0.331  0.330
F  0.669  0.669  0.670
F  0.681  0.178  0.710
F  0.822  0.319  0.290

Results
For the total DFT energy (no corrections), the calculation gives -40.53 eV per cell. As for the space group: C2/m, No. 12. The calculation puts the energy relative to the elements, uncorrected at -1.50 eV per atom. Its total magnetic moment is 2.00 μB/cell.


12.
The following is a GGA-PBE calculation of a relaxed RbCdBrF2 crystal, from Alexandria via LeMat-Bulk.

a = 4.627 Å, b = 4.627 Å, c = 5.492 Å
α = 90.00°, β = 90.00°, γ = 90.00°
Atoms (fractional coordinates):
Rb  0.000  0.000  0.000
Cd  0.500  0.500  0.500
Br  0.500  0.500  0.000
F  0.000  0.500  0.500
F  0.500  0.000  0.500

Results
Its density of states at the Fermi level is 0.0000 states/eV/atom. For the total DFT energy (no corrections), the calculation gives -17.05 eV per cell. As for the space group: P4/mmm, No. 123. The calculation puts the energy relative to the elements, uncorrected at -1.95 eV per atom. Its total magnetic moment is 0.00 μB/cell.